Entry A
Compound: Pb4Se3
Source: Alexandria via LeMat-Bulk
Functional: PBE
Structure: optimized geometry

Theoretical density: 9.17 g/cm³
Total magnetic moment: 0.000 μB per cell
Crystal system: hexagonal

Unit cell a=5.8704 b=5.8704 c=6.4690 alpha=90.00 beta=90.00 gamma=120.00
Closest atoms and distances in Å follow each position.
Atoms (fractional coordinates):
Pb 0.0000 0.0000 0.2532  2 Pb 3.19-3.28, 6 Se 3.36
Pb 0.0000 0.0000 0.7468  2 Pb 3.19-3.28, 6 Se 3.36
Pb 0.6667 0.3333 0.5000  9 Pb 3.39-3.75, 6 Se 3.65
Pb 0.3333 0.6667 0.5000  9 Pb 3.39-3.75, 6 Se 3.65
Se 0.0000 0.5000 0.0000  4 Se 2.94
Se 0.5000 0.5000 0.0000  4 Se 2.94
Se 0.5000 0.0000 0.0000  4 Se 2.94

Entry B
Compound: Pb4Se3
Source: Alexandria via LeMat-Bulk
Functional: PBE
Structure: optimized geometry

Theoretical density: 8.30 g/cm³
Total magnetic moment: 0.000 μB per cell
Crystal system: tetragonal

Unit cell a=12.3677 b=12.3677 c=12.3677 alpha=160.38 beta=160.38 gamma=27.88
Closest atoms and distances in Å follow each position.
Atoms (fractional coordinates):
Pb 0.8222 0.8222 0.0000  5 Se 2.94-3.03
Pb 0.1778 0.1778 0.0000  5 Se 2.94-3.03
Pb 0.5645 0.5645 0.0000  1 Pb 3.10, 5 Se 3.25-3.36
Pb 0.4355 0.4355 0.0000  1 Pb 3.10, 5 Se 3.25-3.36
Se 0.0000 0.0000 0.0000  8 Pb 3.36
Se 0.6998 0.6998 0.0000  6 Pb 2.94-3.25
Se 0.3002 0.3002 0.0000  6 Pb 2.94-3.25

entry B (0.330 eV/atom below the next structure)

Entry A
Compound: Pb3Se4
Source: Alexandria via LeMat-Bulk
Functional: PBE
Structure: optimized geometry

Theoretical density: 7.63 g/cm³
Total magnetic moment: 0.000 μB per cell
Crystal system: trigonal

Unit cell a=4.2859 b=4.2859 c=13.0619 alpha=80.56 beta=80.56 gamma=60.00
Closest atoms and distances in Å follow each position.
Atoms (fractional coordinates):
Pb 0.7641 0.7641 0.7077  6 Se 2.92-3.15
Pb 0.2359 0.2359 0.2923  6 Se 2.92-3.15
Pb 0.0000 0.0000 0.0000  6 Se 3.06
Se 0.3799 0.3799 0.8602  6 Pb 3.06-3.15
Se 0.1375 0.1375 0.5874  3 Pb 2.92
Se 0.8625 0.8625 0.4126  3 Pb 2.92
Se 0.6201 0.6201 0.1398  6 Pb 3.06-3.15

Entry B
Compound: Pb3Se4
Source: Alexandria via LeMat-Bulk
Functional: PBE
Structure: optimized geometry

Theoretical density: 7.18 g/cm³
Total magnetic moment: 0.000 μB per cell
Crystal system: tetragonal

Unit cell a=12.1468 b=12.1468 c=12.1468 alpha=159.63 beta=159.63 gamma=28.96
Closest atoms and distances in Å follow each position.
Atoms (fractional coordinates):
Pb 0.0000 0.0000 0.0000  8 Se 3.28
Pb 0.6864 0.6864 0.0000  6 Se 2.85-3.13
Pb 0.3136 0.3136 0.0000  6 Se 2.85-3.13
Se 0.8077 0.8077 0.0000  5 Pb 2.85-3.04
Se 0.1923 0.1923 0.0000  5 Pb 2.85-3.04
Se 0.5532 0.5532 0.0000  1 Se 2.50
Se 0.4468 0.4468 0.0000  1 Se 2.50

entry B (0.024 eV/atom below the next structure)